Record 1
A plane-wave DFT calculation with PBE was carried out for an optimized crystal structure of NaPbW3.

Unit cell a=4.640 b=4.640 c=4.640 alpha=90.00 beta=90.00 gamma=90.00
Atoms (fractional coordinates):
Na: 0.000 0.000 0.000
Pb: 0.500 0.500 0.500
W: 0.000 0.000 0.500
W: 0.000 0.500 0.000
W: 0.500 0.000 0.000

Values from the calculation:
D(E_F): 1.67 states/eV per atom
Crystal system: cubic
Excess energy over the best structure of this formula in the dataset: 0.0000 eV per atom
Symmetry: Pm-3m (221)
Theoretical density: 13.0 g/cm³



Record 2
A plane-wave DFT calculation with PBE was carried out for an optimized crystal structure of Na3PbW.

Unit cell a=5.779 b=5.779 c=5.779 alpha=90.00 beta=90.00 gamma=90.00
Atoms (fractional coordinates):
Na: 0.000 0.000 0.500
Na: 0.000 0.500 0.000
Na: 0.500 0.000 0.000
Pb: 0.000 0.000 0.000
W: 0.500 0.500 0.500

Values from the calculation:
D(E_F): 0.53 states/eV per atom
Crystal system: cubic
Excess energy over the best structure of this formula in the dataset: 0.0113 eV per atom
Symmetry: Pm-3m (221)
Theoretical density: 4.0 g/cm³



Record 3
A plane-wave DFT calculation with PBE was carried out for an optimized crystal structure of Na2PbW.

Unit cell a=6.763 b=6.763 c=6.763 alpha=100.02 beta=100.02 gamma=130.70
Atoms (fractional coordinates):
Na: 0.122 0.625 0.997
Na: 0.375 0.372 0.497
Na: 0.628 0.125 0.003
Na: 0.875 0.878 0.503
Pb: 0.250 0.750 0.500
Pb: 0.500 0.500 0.000
W: 0.000 0.000 0.000
W: 0.750 0.250 0.500

Values from the calculation:
D(E_F): 0.81 states/eV per atom
Crystal system: tetragonal
Symmetry: I-42d (122)
Theoretical density: 6.8 g/cm³



Record 4
A plane-wave DFT calculation with PBE was carried out for an optimized crystal structure of Na3PbW.

Unit cell a=5.750 b=5.750 c=5.750 alpha=90.00 beta=90.00 gamma=90.00
Atoms (fractional coordinates):
Na: 0.000 0.000 0.500
Na: 0.000 0.500 0.000
Na: 0.500 0.000 0.000
Pb: 0.500 0.500 0.500
W: 0.000 0.000 0.000

Values from the calculation:
D(E_F): 0.67 states/eV per atom
Crystal system: cubic
Excess energy over the best structure of this formula in the dataset: 0.0000 eV per atom
Symmetry: Pm-3m (221)
Theoretical density: 4.0 g/cm³



Record 5
A plane-wave DFT calculation with PBE was carried out for an optimized crystal structure of NaY3Pb.

Unit cell a=5.892 b=5.892 c=5.892 alpha=90.00 beta=90.00 gamma=90.00
Atoms (fractional coordinates):
Na: 0.000 0.000 0.000
Y: 0.000 0.500 0.500
Y: 0.500 0.000 0.500
Y: 0.500 0.500 0.000
Pb: 0.500 0.500 0.500

Values from the calculation:
D(E_F): 1.51 states/eV per atom
Crystal system: cubic
Excess energy over the best structure of this formula in the dataset: 0.0000 eV per atom
Symmetry: Pm-3m (221)
Theoretical density: 4.0 g/cm³



Record 6
A plane-wave DFT calculation with PBE was carried out for an optimized crystal structure of NaY3Pb.

Unit cell a=5.487 b=5.487 c=5.487 alpha=90.00 beta=90.00 gamma=90.00
Atoms (fractional coordinates):
Na: 0.000 0.000 0.000
Y: 0.000 0.000 0.500
Y: 0.000 0.500 0.000
Y: 0.500 0.000 0.000
Pb: 0.500 0.500 0.500

Values from the calculation:
D(E_F): 1.45 states/eV per atom
Crystal system: cubic
Excess energy over the best structure of this formula in the dataset: 0.3206 eV per atom
Symmetry: Pm-3m (221)
Theoretical density: 5.0 g/cm³



Record 7
A plane-wave DFT calculation with PBE was carried out for an optimized crystal structure of NaYPb.

Unit cell a=5.350 b=5.160 c=7.090 alpha=90.00 beta=109.74 gamma=90.00
Atoms (fractional coordinates):
Na: 0.187 0.000 0.375
Na: 0.813 0.000 0.625
Y: 0.000 0.500 0.000
Y: 0.500 0.000 0.000
Pb: 0.378 0.500 0.720
Pb: 0.622 0.500 0.280

Values from the calculation:
D(E_F): 0.37 states/eV per atom
Crystal system: monoclinic
Excess energy over the best structure of this formula in the dataset: 0.2182 eV per atom
Symmetry: P2/m (10)
Theoretical density: 5.8 g/cm³



Record 8
A plane-wave DFT calculation with PBE was carried out for an optimized crystal structure of Na3YPb4.

Unit cell a=9.735 b=9.735 c=9.735 alpha=150.15 beta=150.15 gamma=42.73
Atoms (fractional coordinates):
Na: 0.000 0.000 0.000
Na: 0.252 0.252 0.000
Na: 0.748 0.748 0.000
Y: 0.500 0.500 0.000
Pb: 0.121 0.621 0.500
Pb: 0.379 0.879 0.500
Pb: 0.621 0.121 0.500
Pb: 0.879 0.379 0.500

Values from the calculation:
D(E_F): 0.18 states/eV per atom
Crystal system: tetragonal
Symmetry: I4/mmm (139)
Theoretical density: 7.2 g/cm³



Record 9
A plane-wave DFT calculation with PBE was carried out for an optimized crystal structure of NaYPb.

Unit cell a=4.484 b=4.484 c=8.703 alpha=90.00 beta=90.00 gamma=90.00
Atoms (fractional coordinates):
Na: 0.250 0.750 0.000
Na: 0.750 0.250 0.000
Y: 0.250 0.250 0.363
Y: 0.750 0.750 0.637
Pb: 0.250 0.250 0.723
Pb: 0.750 0.750 0.277

Values from the calculation:
D(E_F): 0.54 states/eV per atom
Crystal system: tetragonal
Excess energy over the best structure of this formula in the dataset: 0.0494 eV per atom
Symmetry: P4/nmm (129)
Theoretical density: 6.1 g/cm³



Record 10
A plane-wave DFT calculation with PBE was carried out for an optimized crystal structure of NaYPb.

Unit cell a=5.428 b=5.428 c=7.415 alpha=90.00 beta=90.00 gamma=90.00
Atoms (fractional coordinates):
Na: 0.250 0.250 0.136
Na: 0.750 0.750 0.864
Y: 0.250 0.750 0.500
Y: 0.750 0.250 0.500
Pb: 0.250 0.250 0.706
Pb: 0.750 0.750 0.294

Values from the calculation:
D(E_F): 0.00 states/eV per atom
Crystal system: tetragonal
Excess energy over the best structure of this formula in the dataset: 0.1888 eV per atom
Symmetry: P4/nmm (129)
Theoretical density: 4.9 g/cm³



Record 11
A plane-wave DFT calculation with PBE was carried out for an optimized crystal structure of NaYPb.

Unit cell a=5.320 b=8.274 c=8.274 alpha=28.14 beta=90.00 gamma=90.00
Atoms (fractional coordinates):
Na: 0.000 0.000 0.000
Na: 0.000 0.340 0.340
Y: 0.500 0.131 0.131
Y: 0.500 0.818 0.818
Pb: 0.000 0.687 0.687
Pb: 0.500 0.470 0.470

Values from the calculation:
D(E_F): 0.49 states/eV per atom
Crystal system: orthorhombic
Excess energy over the best structure of this formula in the dataset: 0.1582 eV per atom
Symmetry: Amm2 (38)
Theoretical density: 6.2 g/cm³



Record 12
A plane-wave DFT calculation with PBE was carried out for an optimized crystal structure of Na2YPb2.

Unit cell a=9.140 b=9.140 c=3.338 alpha=90.00 beta=90.00 gamma=90.00
Atoms (fractional coordinates):
Na: 0.113 0.387 0.000
Na: 0.387 0.887 0.000
Na: 0.613 0.113 0.000
Na: 0.887 0.613 0.000
Y: 0.000 0.000 0.000
Y: 0.500 0.500 0.000
Pb: 0.185 0.685 0.500
Pb: 0.315 0.185 0.500
Pb: 0.685 0.815 0.500
Pb: 0.815 0.315 0.500

Values from the calculation:
D(E_F): 0.44 states/eV per atom
Crystal system: tetragonal
Excess energy over the best structure of this formula in the dataset: 0.0455 eV per atom
Symmetry: P4/mbm (127)
Theoretical density: 6.5 g/cm³



Number 1: formation energy 2981 meV/atom, spin magnetization 2.05 μB/f.u.. Number 2: formation energy 1489 meV/atom, spin magnetization 4.37 μB/f.u.. Number 3: formation energy 1204 meV/atom, spin magnetization 2.98 μB/f.u.. Number 4: formation energy 1478 meV/atom, spin magnetization 4.35 μB/f.u.. Number 5: formation energy 342 meV/atom, spin magnetization 2.23 μB/f.u.. Number 6: formation energy 663 meV/atom, spin magnetization 1.86 μB/f.u.. Number 7: formation energy -158 meV/atom, spin magnetization 0.00 μB/f.u.. Number 8: formation energy -237 meV/atom, spin magnetization 0.00 μB/f.u.. Number 9: formation energy -327 meV/atom, spin magnetization 0.00 μB/f.u.. Number 10: formation energy -187 meV/atom, spin magnetization 0.00 μB/f.u.. Number 11: formation energy -218 meV/atom, spin magnetization 0.36 μB/f.u.. Number 12: formation energy -125 meV/atom, spin magnetization 0.07 μB/f.u..